First-principles (GGA+U) data for an optimized crystal structure of CsMn2Bi2O7, as listed in Alexandria via LeMat-Bulk.

Unit cell a=5.964 b=5.964 c=9.519 alpha=71.75 beta=71.75 gamma=60.00
Last column: magnetic moment on the atom in μB.
Fractional coordinates of all 12 atoms:
Mn 0.930 0.930 0.209  3.69
O 0.156 0.999 0.270  -0.09
Cs 0.500 0.500 0.500  0.00
O 0.001 0.844 0.730  -0.09
Bi 0.715 0.715 0.856  0.07
O 0.425 0.001 0.730  -0.09
Bi 0.285 0.285 0.144  0.07
Mn 0.070 0.070 0.791  3.69
O 0.999 0.575 0.270  -0.09
O 0.000 0.000 0.000  -0.19
O 0.844 0.425 0.730  -0.09
O 0.575 0.156 0.270  -0.09

The value obtained for the density is 4.69 Mg/m³. The calculation puts the calculated volume at 22.78 A^3/atom. The calculation puts the final energy at -6.048 eV/atom.